Entry 1:
Material: ScSb3
Method: DFT, PBE
State: optimized geometry

a b c (Å): 4.6912 4.6912 4.6912
angles (deg): 90.00 90.00 90.00
Closest atoms and distances in Å follow each position.
Positions (direct):
Sc 0.0000 0.0000 0.0000  12 Sb 3.32
Sb 0.0000 0.5000 0.5000  8 Sb 3.32, 4 Sc 3.32
Sb 0.5000 0.0000 0.5000  8 Sb 3.32, 4 Sc 3.32
Sb 0.5000 0.5000 0.0000  8 Sb 3.32, 4 Sc 3.32

uncorrected formation energy	-0.1711	eV/atom
magnetization	0.00	μB per formula unit
energy above the most stable polymorph in this dataset	0.79	eV per formula unit

Entry 2:
Material: PaInHg2
Method: DFT, PBE
State: optimized geometry

a b c (Å): 6.1715 6.1715 6.1715
angles (deg): 45.48 45.48 45.48
Closest atoms and distances in Å follow each position.
Positions (direct):
Pa 0.0000 0.0000 0.0000  6 Hg 3.11-3.29, 1 In 3.31
In 0.8005 0.8005 0.8005  6 Hg 2.86-3.14
Hg 0.2244 0.2244 0.2244  3 In 3.14, 1 Hg 3.26, 3 Pa 3.29
Hg 0.4209 0.4209 0.4209  3 In 2.86, 3 Pa 3.11

magnetization	1.20	μB per formula unit
energy above the most stable polymorph in this dataset	0.81	eV per formula unit
E_form	0.22	eV per atom

Entry 3:
Material: TeRu2
Method: DFT, PBE
State: optimized geometry

a b c (Å): 5.4159 5.4159 5.4159
angles (deg): 122.31 122.31 86.04
Closest atoms and distances in Å follow each position.
Positions (direct):
Te 0.2500 0.2500 0.0000  8 Ru 2.77
Te 0.7500 0.7500 0.0000  8 Ru 2.77
Ru 0.1735 0.6735 0.8470  5 Ru 2.56-2.73, 4 Te 2.77
Ru 0.3265 0.1735 0.5000  5 Ru 2.56-2.73, 4 Te 2.77
Ru 0.6735 0.8265 0.5000  5 Ru 2.56-2.73, 4 Te 2.77
Ru 0.8265 0.3265 0.1530  5 Ru 2.56-2.73, 4 Te 2.77

uncorrected formation energy	0.4209	eV/atom
magnetization	0.00	μB per formula unit
energy above the most stable polymorph in this dataset	0.92	eV per formula unit

Entry 4:
Material: KBaLi2
Method: DFT, PBE
State: optimized geometry

a b c (Å): 4.0821 4.1494 10.0747
angles (deg): 90.00 90.00 90.00
Closest atoms and distances in Å follow each position.
Positions (direct):
K 0.0000 0.0000 0.0000  5 Li 3.82-3.98, 4 K 4.08-4.15
Ba 0.5000 0.5000 0.3736  5 Li 3.59-3.83
Li 0.0000 0.0000 0.6211  4 Li 3.11
Li 0.5000 0.5000 0.7299  4 Li 3.11

magnetization	0.00	μB per formula unit
energy above the most stable polymorph in this dataset	0.00	eV per formula unit
E_form	0.10	eV per atom

Entry 5:
Material: TeAsN3
Method: DFT, PBE
State: optimized geometry

a b c (Å): 3.8071 3.8071 3.8071
angles (deg): 90.00 90.00 90.00
Closest atoms and distances in Å follow each position.
Positions (direct):
Te 0.0000 0.0000 0.0000  12 N 2.69
As 0.5000 0.5000 0.5000  6 N 1.90
N 0.0000 0.5000 0.5000  2 As 1.90
N 0.5000 0.0000 0.5000  2 As 1.90
N 0.5000 0.5000 0.0000  2 As 1.90

uncorrected formation energy	1.4676	eV/atom
magnetization	0.00	μB per formula unit

Entry 6:
Material: La3HPt2
Method: DFT, PBE
State: optimized geometry

a b c (Å): 8.4219 4.1122 16.9422
angles (deg): 90.00 90.00 90.00
Closest atoms and distances in Å follow each position.
Positions (direct):
La 0.0254 0.2500 0.1014  2 H 2.39
La 0.1373 0.7500 0.4290  1 H 2.39
La 0.1648 0.2500 0.7291  1 H 2.42
La 0.3352 0.7500 0.2291  1 H 2.42
La 0.3627 0.2500 0.9290  1 H 2.39
La 0.4746 0.7500 0.6014  2 H 2.39
La 0.5254 0.2500 0.3986  2 H 2.39
La 0.6373 0.7500 0.0710  1 H 2.39
La 0.6648 0.2500 0.7709  1 H 2.42
La 0.8352 0.7500 0.2709  1 H 2.42
La 0.8627 0.2500 0.5710  1 H 2.39
La 0.9746 0.7500 0.8986  2 H 2.39
H 0.1063 0.2500 0.8691  4 La 2.39-2.42
H 0.3937 0.7500 0.3691  4 La 2.39-2.42
H 0.6063 0.2500 0.6309  4 La 2.39-2.42
H 0.8937 0.7500 0.1309  4 La 2.39-2.42
Pt 0.1077 0.2500 0.2851  7 La 2.97-3.20
Pt 0.2438 0.2500 0.5415  6 La 2.94-3.25
Pt 0.2562 0.7500 0.0415  6 La 2.94-3.25
Pt 0.3923 0.7500 0.7851  7 La 2.97-3.20
Pt 0.6077 0.2500 0.2149  7 La 2.97-3.20
Pt 0.7438 0.2500 0.9585  6 La 2.94-3.25
Pt 0.7562 0.7500 0.4585  6 La 2.94-3.25
Pt 0.8923 0.7500 0.7149  7 La 2.97-3.20

magnetization	0.00	μB per formula unit
E_tot	-143.587	eV/cell

Entry 7:
Material: BaCoSe2
Method: DFT, PBE
State: optimized geometry

a b c (Å): 4.4075 3.7026 6.5925
angles (deg): 90.00 94.34 90.00
Closest atoms and distances in Å follow each position.
Positions (direct):
Ba 0.0000 0.0000 0.0000  8 Se 3.37-3.43, 2 Ba 3.70
Co 0.5000 0.0000 0.5000  4 Se 2.38
Se 0.4592 0.5000 0.7243  2 Co 2.38
Se 0.5408 0.5000 0.2757  2 Co 2.38

uncorrected formation energy	-0.8057	eV/atom
magnetization	1.09	μB per formula unit

Entry 8:
Material: Sc2CoCl
Method: DFT, PBE
State: optimized geometry

a b c (Å): 3.4277 3.9050 5.3168
angles (deg): 90.00 90.00 90.00
Closest atoms and distances in Å follow each position.
Positions (direct):
Sc 0.0000 0.0000 0.0000  4 Cl 2.60, 2 Co 2.66
Sc 0.5000 0.5000 0.5000  4 Co 2.60, 2 Cl 2.66
Co 0.0000 0.0000 0.5000  6 Sc 2.60-2.66
Cl 0.5000 0.5000 0.0000  6 Sc 2.60-2.66

uncorrected formation energy	-0.5670	eV/atom
magnetization	0.00	μB per formula unit
energy above the most stable polymorph in this dataset	0.88	eV per formula unit

Entry 9:
Material: Pa3Zn4
Method: DFT, PBE
State: optimized geometry

a b c (Å): 15.2045 15.2045 15.2045
angles (deg): 168.64 168.64 16.09
Closest atoms and distances in Å follow each position.
Positions (direct):
Pa 0.0000 0.0000 0.0000  4 Pa 3.01, 8 Zn 3.11
Pa 0.2935 0.2935 0.0000  4 Pa 3.01, 4 Zn 3.17
Pa 0.7065 0.7065 0.0000  4 Pa 3.01, 4 Zn 3.17
Zn 0.1287 0.1287 0.0000  4 Zn 2.66
Zn 0.4245 0.4245 0.0000  4 Zn 2.66
Zn 0.5755 0.5755 0.0000  4 Zn 2.66
Zn 0.8713 0.8713 0.0000  4 Zn 2.66

magnetization	0.22	μB per formula unit
E_form	-0.01	eV per atom

Entry 10:
Material: Sc2SnSb
Method: DFT, PBE
State: optimized geometry

a b c (Å): 11.4799 11.4799 4.1329
angles (deg): 90.00 90.00 158.68
Closest atoms and distances in Å follow each position.
Positions (direct):
Sc 0.0607 0.9393 0.7500  1 Sb 2.85, 4 Sn 2.97
Sc 0.3157 0.6843 0.7500  5 Sb 2.90-2.96, 1 Sn 3.05
Sc 0.6843 0.3157 0.2500  5 Sb 2.90-2.96, 1 Sn 3.05
Sc 0.9393 0.0607 0.2500  1 Sb 2.85, 4 Sn 2.97
Sn 0.4508 0.5492 0.7500  7 Sc 2.97-3.26, 2 Sn 3.03
Sn 0.5492 0.4508 0.2500  7 Sc 2.97-3.26, 2 Sn 3.03
Sb 0.1871 0.8129 0.7500  6 Sc 2.85-2.96
Sb 0.8129 0.1871 0.2500  6 Sc 2.85-2.96

uncorrected formation energy	-0.7684	eV/atom
magnetization	0.00	μB per formula unit
energy above the most stable polymorph in this dataset	0.00	eV per formula unit

Entry 11:
Material: La2TbPuSb4
Method: DFT, PBE
State: optimized geometry

a b c (Å): 7.8191 4.5324 7.8264
angles (deg): 90.00 109.51 90.00
Closest atoms and distances in Å follow each position.
Positions (direct):
La 0.0000 0.0000 0.0000  6 Sb 3.25
La 0.0000 0.5000 0.5000  6 Sb 3.25
Tb 0.5000 0.0000 0.5000  6 Sb 3.14-3.15
Pu 0.5000 0.5000 0.0000  6 Sb 3.14
Sb 0.2625 0.5000 0.2542  1 Pu 3.14, 2 Tb 3.15, 3 La 3.25
Sb 0.2629 0.0000 0.7543  1 Tb 3.14, 2 Pu 3.14, 3 La 3.25
Sb 0.7371 0.0000 0.2457  1 Tb 3.14, 2 Pu 3.14, 3 La 3.25
Sb 0.7375 0.5000 0.7458  1 Pu 3.14, 2 Tb 3.15, 3 La 3.25

uncorrected formation energy	-1.0594	eV/atom
magnetization	4.99	μB per formula unit

Entry 12:
Material: Ac6SmTl2
Method: DFT, PBE
State: optimized geometry

a b c (Å): 7.3316 7.3316 13.0264
angles (deg): 106.87 106.87 32.10
Closest atoms and distances in Å follow each position.
Positions (direct):
Ac 0.0276 0.0276 0.3357  2 Tl 3.54, 3 Ac 3.79-3.92
Ac 0.3086 0.3086 0.4037  10 Ac 3.74-4.05, 2 Tl 3.74
Ac 0.3229 0.3229 0.1219  2 Tl 3.55, 5 Ac 3.74-3.92, 2 Sm 3.91
Ac 0.6771 0.6771 0.8781  2 Tl 3.55, 5 Ac 3.74-3.92, 2 Sm 3.91
Ac 0.6914 0.6914 0.5963  10 Ac 3.74-4.05, 2 Tl 3.74
Ac 0.9724 0.9724 0.6643  2 Tl 3.54, 3 Ac 3.79-3.92
Sm 0.0000 0.0000 0.0000  4 Tl 3.28
Tl 0.3604 0.3604 0.8187  2 Sm 3.28, 4 Ac 3.54-3.55
Tl 0.6396 0.6396 0.1813  2 Sm 3.28, 4 Ac 3.54-3.55

magnetization	0.00	μB per formula unit
energy above the most stable polymorph in this dataset	0.00	eV per formula unit
E_form	-0.14	eV per atom

> Look up the magnetization of the seventh one.

1.09 μB per formula unit